Record 1
The following is a meta-GGA SCAN calculation of a crystal of FeTcSbN2 relaxed with PBEsol, from the Alexandria database.

Cell lengths 3.5768, 3.5768, 5.3862 Å; angles 90.00, 90.00, 90.00 degrees
Element x y z (fractional)
Sb 0.5000 0.5000 0.5000
Fe 0.0000 0.0000 0.0000
N 0.0000 0.5000 0.0000
N 0.5000 0.0000 0.0000
Tc 0.0000 0.0000 0.5000

Summary:
* uncorrected formation energy: 107 kJ per mole of atoms

Record 2
The following is a meta-GGA SCAN calculation of a crystal of BaTaCrIr2 relaxed with PBEsol, from the Alexandria database.

Cell lengths 4.5569, 4.7061, 4.7061 Å; angles 90.00, 90.00, 90.00 degrees
Element x y z (fractional)
Ir 0.0000 0.5000 0.0000
Ir 0.0000 0.0000 0.5000
Ba 0.5000 0.5000 0.5000
Ta 0.5000 0.0000 0.0000
Cr 0.0000 0.0000 0.0000

Summary:
* energy of formation from the pure elements: 0.75 eV/atom

Record 3
The following is a meta-GGA SCAN calculation of a crystal of HfRuI2N relaxed with PBEsol, from the Alexandria database.

Cell lengths 3.8689, 5.6963, 5.6963 Å; angles 90.00, 90.00, 90.00 degrees
Element x y z (fractional)
I 0.0000 0.0000 0.5000
I 0.0000 0.5000 0.0000
Ru 0.5000 0.5000 0.5000
Hf 0.0000 0.0000 0.0000
N 0.5000 0.0000 0.0000

Summary:
* uncorrected formation energy: 47 kJ per mole of atoms

Record 4
The following is a meta-GGA SCAN calculation of a crystal of MnZnW relaxed with PBEsol, from the Alexandria database.

Cell lengths 2.6454, 2.6454, 6.1104 Å; angles 102.50, 102.50, 90.00 degrees
Element x y z (fractional)
Zn 0.3406 0.3406 0.6811
W 0.6637 0.6637 0.3273
Mn 0.9958 0.9958 0.9915

Summary:
* energy of formation from the pure elements: 0.13 eV/atom

Record 5
The following is a meta-GGA SCAN calculation of a crystal of AlAuSe2Br relaxed with PBEsol, from the Alexandria database.

Cell lengths 5.0330, 5.0330, 5.1525 Å; angles 90.00, 90.00, 90.00 degrees
Element x y z (fractional)
Al 0.5000 0.5000 0.5000
Se 0.0000 0.5000 0.0000
Se 0.5000 0.0000 0.0000
Au 0.0000 0.0000 0.0000
Br 0.0000 0.0000 0.5000

Summary:
* uncorrected formation energy: 40 kJ per mole of atoms

Record 6
The following is a meta-GGA SCAN calculation of a crystal of MnNi2Mo relaxed with PBEsol, from the Alexandria database.

Cell lengths 3.5154, 3.5154, 3.7442 Å; angles 90.00, 90.00, 90.00 degrees
Element x y z (fractional)
Mn 0.5000 0.5000 0.5000
Ni 0.5000 0.0000 0.0000
Ni 0.0000 0.5000 0.0000
Mo 0.0000 0.0000 0.5000

Summary:
* energy of formation from the pure elements: -0.04 eV/atom

| no. | M_tot (μB per formula unit) | total energy (eV/atom) |
| --- | --- | --- |
| 1 | 1.6 | -20.699 |
| 2 | 0.0 | -52.596 |
| 3 | 3.2 | -35.571 |
| 4 | 3.2 | -33.689 |
| 5 | 0.0 | -26.887 |
| 6 | 1.0 | -21.409 |